Entry 1:
A relaxed structure of Pm3Ga5S12, computed with PBE.

Unit cell a=13.180 b=13.180 c=13.180 alpha=109.47 beta=109.47 gamma=109.47
Positions (direct):
1 Pm 0.750 0.375 0.125
2 Pm 0.875 0.750 0.125
3 Pm 0.375 0.750 0.625
4 Pm 0.250 0.125 0.375
5 Pm 0.875 0.125 0.250
6 Pm 0.375 0.625 0.250
7 Pm 0.625 0.375 0.750
8 Pm 0.125 0.875 0.750
9 Pm 0.750 0.875 0.625
10 Pm 0.625 0.250 0.375
11 Pm 0.125 0.250 0.875
12 Pm 0.250 0.625 0.875
13 Ga 0.125 0.375 0.250
14 Ga 0.000 0.500 0.000
15 Ga 0.000 0.000 0.000
16 Ga 0.375 0.250 0.125
17 Ga 0.500 0.000 0.500
18 Ga 0.500 0.500 0.000
19 Ga 0.125 0.750 0.375
20 Ga 0.750 0.125 0.875
21 Ga 0.750 0.625 0.375
22 Ga 0.375 0.125 0.750
23 Ga 0.625 0.875 0.250
24 Ga 0.500 0.500 0.500
25 Ga 0.500 0.000 0.000
26 Ga 0.000 0.000 0.500
27 Ga 0.250 0.375 0.625
28 Ga 0.250 0.875 0.125
29 Ga 0.000 0.500 0.500
30 Ga 0.875 0.250 0.625
31 Ga 0.625 0.750 0.875
32 Ga 0.875 0.625 0.750
33 S 0.707 0.122 0.030
34 S 0.323 0.530 0.408
35 S 0.970 0.378 0.293
36 S 0.530 0.207 0.122
37 S 0.585 0.707 0.677
38 S 0.970 0.592 0.177
39 S 0.323 0.793 0.415
40 S 0.092 0.915 0.122
41 S 0.592 0.970 0.677
42 S 0.707 0.585 0.177
43 S 0.793 0.470 0.378
44 S 0.823 0.908 0.030
45 S 0.122 0.707 0.530
46 S 0.378 0.408 0.085
47 S 0.085 0.908 0.378
48 S 0.415 0.122 0.592
49 S 0.085 0.177 0.207
50 S 0.470 0.677 0.092
51 S 0.823 0.915 0.293
52 S 0.122 0.415 0.092
53 S 0.378 0.970 0.793
54 S 0.592 0.622 0.415
55 S 0.908 0.823 0.530
56 S 0.793 0.323 0.915
57 S 0.408 0.378 0.585
58 S 0.092 0.177 0.470
59 S 0.207 0.677 0.085
60 S 0.177 0.085 0.707
61 S 0.622 0.030 0.207
62 S 0.878 0.585 0.908
63 S 0.530 0.323 0.908
64 S 0.585 0.878 0.408
65 S 0.915 0.823 0.793
66 S 0.915 0.092 0.622
67 S 0.878 0.293 0.470
68 S 0.177 0.092 0.970
69 S 0.622 0.592 0.915
70 S 0.408 0.030 0.323
71 S 0.293 0.415 0.823
72 S 0.207 0.530 0.622
73 S 0.908 0.085 0.878
74 S 0.677 0.207 0.585
75 S 0.470 0.793 0.878
76 S 0.030 0.408 0.823
77 S 0.415 0.293 0.323
78 S 0.030 0.622 0.707
79 S 0.677 0.470 0.592
80 S 0.293 0.878 0.970

## Properties
space group	Ia-3d, No. 230
formation energy (no corrections)	-23.359	eV/f.u.


Entry 2:
A relaxed structure of Pm6Ga2S, computed with PBE.

Unit cell a=6.530 b=8.240 c=9.713 alpha=90.00 beta=89.06 gamma=90.00
Positions (direct):
1 Pm 0.127 0.037 0.228
2 Pm 0.139 0.314 0.567
3 Pm 0.147 0.330 0.935
4 Pm 0.353 0.830 0.565
5 Pm 0.361 0.814 0.933
6 Pm 0.373 0.537 0.272
7 Pm 0.873 0.963 0.772
8 Pm 0.861 0.686 0.433
9 Pm 0.853 0.670 0.065
10 Pm 0.647 0.170 0.435
11 Pm 0.639 0.186 0.067
12 Pm 0.627 0.463 0.728
13 Ga 0.058 0.622 0.746
14 Ga 0.442 0.122 0.754
15 Ga 0.558 0.878 0.246
16 Ga 0.942 0.378 0.254
17 S 0.500 0.500 0.000
18 S 0.000 0.000 0.500

## Properties
space group	P2_1/c, No. 14
formation energy (no corrections)	-6.059	eV/f.u.
DOS(E_F)	20.9	states/eV per cell


Entry 3:
A relaxed structure of Pm6GaS5, computed with PBE.

Unit cell a=7.064 b=7.064 c=7.068 alpha=99.58 beta=99.58 gamma=119.79
Positions (direct):
1 S 0.834 0.166 0.500
2 S 0.667 0.333 0.000
3 S 0.500 0.500 0.500
4 S 0.333 0.667 0.000
5 S 0.166 0.834 0.500
6 Ga 0.000 0.000 0.000
7 Pm 0.419 0.083 0.251
8 Pm 0.917 0.581 0.749
9 Pm 0.252 0.252 0.750
10 Pm 0.748 0.748 0.250
11 Pm 0.083 0.419 0.251
12 Pm 0.581 0.917 0.749

## Properties
space group	C2/m, No. 12
formation energy (no corrections)	-21.591	eV/f.u.
DOS(E_F)	5.3	states/eV per cell


Entry 4:
A relaxed structure of Pm4Ga2S, computed with PBE.

Unit cell a=5.327 b=5.327 c=8.216 alpha=108.92 beta=108.92 gamma=90.00
Positions (direct):
1 S 0.000 0.000 0.000
2 Ga 0.612 0.612 0.224
3 Ga 0.388 0.388 0.776
4 Pm 0.814 0.814 0.628
5 Pm 0.186 0.186 0.372
6 Pm 0.000 0.500 0.000
7 Pm 0.500 0.000 0.000

## Properties
space group	I4/mmm, No. 139
formation energy (no corrections)	-4.727	eV/f.u.
DOS(E_F)	4.9	states/eV per cell


| no. | M_tot (μB/f.u.) |
| --- | --- |
| 1 | 0.000 |
| 2 | 0.001 |
| 3 | 0.000 |
| 4 | 0.000 |